(1)
DFT (GGA-PBE) results for BaSi3H after structural relaxation. Values from VASP.

Results
- polymorph energy (0 for the lowest one) (kJ per mole of atoms) = 0.0
- total magnetization (μB per formula unit) = 0.0

Geometry as Quantum ESPRESSO input:
```
&SYSTEM
  ibrav = 0, nat = 5, ntyp = 3
/
ATOMIC_SPECIES
Ba 137.33 Ba.upf
Si 28.09 Si.upf
H 1.01 H.upf
ATOMIC_POSITIONS angstrom
Ba 0.000 0.000 0.000
Si 0.000 2.267 2.267
Si 2.267 0.000 2.267
Si 2.267 2.267 0.000
H 2.267 2.267 2.267
CELL_PARAMETERS angstrom
4.534 0.000 0.000
0.000 4.534 0.000
0.000 0.000 4.534
```

(2)
DFT (GGA-PBE) results for BaSiH after structural relaxation. Values from VASP.

Results
- polymorph energy (0 for the lowest one) (kJ per mole of atoms) = 0.0
- total magnetization (μB per formula unit) = 0.0

Geometry as Quantum ESPRESSO input:
```
&SYSTEM
  ibrav = 0, nat = 6, ntyp = 3
/
ATOMIC_SPECIES
Ba 137.33 Ba.upf
Si 28.09 Si.upf
H 1.01 H.upf
ATOMIC_POSITIONS angstrom
Ba -0.005 0.000 2.640
Ba 4.822 0.000 6.390
Si 2.418 0.000 0.312
Si 2.399 0.000 8.717
H -0.018 0.000 5.344
H 4.835 0.000 3.686
CELL_PARAMETERS angstrom
3.634 -2.105 0.000
3.634 2.105 0.000
-2.450 0.000 9.030
```

(3)
DFT (GGA-PBE) results for BaSiH3 after structural relaxation. Values from VASP.

Results
- polymorph energy (0 for the lowest one) (kJ per mole of atoms) = 0.0
- total magnetization (μB per formula unit) = 0.0

Geometry as Quantum ESPRESSO input:
```
&SYSTEM
  ibrav = 0, nat = 10, ntyp = 3
/
ATOMIC_SPECIES
Ba 137.33 Ba.upf
Si 28.09 Si.upf
H 1.01 H.upf
ATOMIC_POSITIONS angstrom
Ba -0.078 1.283 1.631
Ba 2.355 3.848 4.612
Si -0.113 1.283 5.257
Si 2.391 3.848 0.986
H 0.805 3.848 0.922
H 0.021 0.131 4.096
H 0.021 2.435 4.096
H 2.256 2.696 2.147
H 2.256 5.000 2.147
H 1.472 1.283 5.322
CELL_PARAMETERS angstrom
4.558 0.000 0.000
0.000 5.131 0.000
-2.281 0.000 6.243
```

(4)
DFT (GGA-PBE) results for BaSiH3 after structural relaxation. Values from VASP.

Results
- polymorph energy (0 for the lowest one) (kJ per mole of atoms) = 24.8
- total magnetization (μB per formula unit) = 0.0

Geometry as Quantum ESPRESSO input:
```
&SYSTEM
  ibrav = 0, nat = 5, ntyp = 3
/
ATOMIC_SPECIES
Ba 137.33 Ba.upf
Si 28.09 Si.upf
H 1.01 H.upf
ATOMIC_POSITIONS angstrom
Ba 0.000 0.000 0.000
Si 2.006 2.006 2.006
H 0.000 2.006 2.006
H 2.006 0.000 2.006
H 2.006 2.006 0.000
CELL_PARAMETERS angstrom
4.013 0.000 0.000
0.000 4.013 0.000
0.000 0.000 4.013
```

(5)
DFT (GGA-PBE) results for Ba6Si2H after structural relaxation. Values from VASP.

Results
- total magnetization (μB per formula unit) = 1.0
- DFT total energy (eV/atom) = -3.0933

Geometry as Quantum ESPRESSO input:
```
&SYSTEM
  ibrav = 0, nat = 18, ntyp = 3
/
ATOMIC_SPECIES
Ba 137.33 Ba.upf
Si 28.09 Si.upf
H 1.01 H.upf
ATOMIC_POSITIONS angstrom
Ba -2.427 1.559 4.725
Ba -6.121 2.830 10.197
Ba -1.284 5.873 4.740
Ba -4.978 7.294 10.213
Ba 1.037 0.360 2.723
Ba -2.657 4.029 8.196
Ba 2.793 4.749 2.749
Ba -0.901 8.418 8.222
Ba 5.114 1.484 0.733
Ba 1.420 2.905 6.206
Ba 6.258 5.948 0.748
Ba 2.564 7.219 6.221
Si -4.039 0.975 8.189
Si -0.345 3.414 2.716
Si 0.481 5.364 8.230
Si 4.175 7.803 2.757
H 0.000 0.000 0.000
H -3.694 4.389 5.473
CELL_PARAMETERS angstrom
7.525 0.000 0.000
0.000 8.778 0.000
-7.388 0.000 10.946
```

(6)
DFT (GGA-PBE) results for Ba2SiH after structural relaxation. Values from VASP.

Results
- polymorph energy (0 for the lowest one) (kJ per mole of atoms) = 5.9
- total magnetization (μB per formula unit) = 1.0

Geometry as Quantum ESPRESSO input:
```
&SYSTEM
  ibrav = 0, nat = 8, ntyp = 3
/
ATOMIC_SPECIES
Ba 137.33 Ba.upf
Si 28.09 Si.upf
H 1.01 H.upf
ATOMIC_POSITIONS angstrom
Ba 4.904 1.242 -1.773
Ba 1.242 1.635 1.773
Ba -1.635 2.028 5.320
Ba 2.028 1.635 8.867
Si 3.270 0.000 3.547
Si 0.000 0.000 7.093
H 0.000 0.000 0.000
H 0.000 3.270 3.547
CELL_PARAMETERS angstrom
-3.270 3.270 7.093
3.270 -3.270 7.093
3.270 3.270 -7.093
```

(7)
DFT (GGA-PBE) results for BaSiH6 after structural relaxation. Values from VASP.

Results
- total magnetization (μB per formula unit) = 0.0
- DFT total energy (eV/atom) = -3.6703

Geometry as Quantum ESPRESSO input:
```
&SYSTEM
  ibrav = 0, nat = 8, ntyp = 3
/
ATOMIC_SPECIES
Ba 137.33 Ba.upf
Si 28.09 Si.upf
H 1.01 H.upf
ATOMIC_POSITIONS angstrom
Ba 0.000 0.000 0.000
Si 0.000 0.000 6.318
H -1.141 -0.659 5.413
H 0.000 -1.317 7.222
H -1.141 0.659 7.222
H 1.141 -0.659 5.413
H 0.000 1.317 5.413
H 1.141 0.659 7.222
CELL_PARAMETERS angstrom
2.415 1.394 4.212
-2.415 1.394 4.212
0.000 -2.788 4.212
```

(8)
DFT (GGA-PBE) results for BaSi3H after structural relaxation. Values from VASP.

Results
- polymorph energy (0 for the lowest one) (kJ per mole of atoms) = 165.2
- total magnetization (μB per formula unit) = 1.3

Geometry as Quantum ESPRESSO input:
```
&SYSTEM
  ibrav = 0, nat = 5, ntyp = 3
/
ATOMIC_SPECIES
Ba 137.33 Ba.upf
Si 28.09 Si.upf
H 1.01 H.upf
ATOMIC_POSITIONS angstrom
Ba 0.000 0.000 0.000
Si 0.000 0.000 2.983
Si 0.000 2.983 0.000
Si 2.983 0.000 0.000
H 2.983 2.983 2.983
CELL_PARAMETERS angstrom
5.967 0.000 0.000
0.000 5.967 0.000
0.000 0.000 5.967
```

(9)
DFT (GGA-PBE) results for Ba2SiH after structural relaxation. Values from VASP.

Results
- polymorph energy (0 for the lowest one) (kJ per mole of atoms) = 0.0
- total magnetization (μB per formula unit) = 1.0

Geometry as Quantum ESPRESSO input:
```
&SYSTEM
  ibrav = 0, nat = 4, ntyp = 3
/
ATOMIC_SPECIES
Ba 137.33 Ba.upf
Si 28.09 Si.upf
H 1.01 H.upf
ATOMIC_POSITIONS angstrom
Ba 1.957 1.957 1.957
Ba 5.871 5.871 5.871
Si 0.000 0.000 0.000
H 3.914 3.914 3.914
CELL_PARAMETERS angstrom
0.000 3.914 3.914
3.914 0.000 3.914
3.914 3.914 0.000
```

(10)
DFT (GGA-PBE) results for Ba4SiH2 after structural relaxation. Values from VASP.

Results
- total magnetization (μB per formula unit) = 0.9
- DFT total energy (eV/atom) = -2.8938

Geometry as Quantum ESPRESSO input:
```
&SYSTEM
  ibrav = 0, nat = 7, ntyp = 3
/
ATOMIC_SPECIES
Ba 137.33 Ba.upf
Si 28.09 Si.upf
H 1.01 H.upf
ATOMIC_POSITIONS angstrom
Ba 3.160 0.000 0.000
Ba 0.000 0.000 3.347
Ba 0.000 3.160 0.000
Ba 0.000 0.000 11.012
Si 0.000 0.000 0.000
H 0.000 0.000 5.916
H 0.000 0.000 8.443
CELL_PARAMETERS angstrom
-3.160 3.160 7.180
3.160 -3.160 7.180
3.160 3.160 -7.180
```

(11)
DFT (GGA-PBE) results for BaSiH after structural relaxation. Values from VASP.

Results
- polymorph energy (0 for the lowest one) (kJ per mole of atoms) = 27.4
- total magnetization (μB per formula unit) = 0.0

Geometry as Quantum ESPRESSO input:
```
&SYSTEM
  ibrav = 0, nat = 6, ntyp = 3
/
ATOMIC_SPECIES
Ba 137.33 Ba.upf
Si 28.09 Si.upf
H 1.01 H.upf
ATOMIC_POSITIONS angstrom
Ba 0.000 0.000 2.545
Ba 0.000 0.000 14.845
Si 1.985 1.115 0.000
Si 0.000 1.122 8.695
H 0.000 0.000 5.281
H 0.000 0.000 12.109
CELL_PARAMETERS angstrom
-1.985 2.237 8.695
1.985 -2.237 8.695
1.985 2.237 -8.695
```

(12)
DFT (GGA-PBE) results for Ba4Si2H after structural relaxation. Values from VASP.

Results
- total magnetization (μB per formula unit) = 1.0
- DFT total energy (eV/atom) = -3.3459

Geometry as Quantum ESPRESSO input:
```
&SYSTEM
  ibrav = 0, nat = 7, ntyp = 3
/
ATOMIC_SPECIES
Ba 137.33 Ba.upf
Si 28.09 Si.upf
H 1.01 H.upf
ATOMIC_POSITIONS angstrom
Ba 3.028 0.000 0.000
Ba 0.000 0.000 3.008
Ba 0.000 3.028 0.000
Ba 0.000 0.000 11.672
Si 0.000 0.000 6.103
Si 0.000 0.000 8.577
H 0.000 0.000 0.000
CELL_PARAMETERS angstrom
-3.028 3.028 7.340
3.028 -3.028 7.340
3.028 3.028 -7.340
```

(13)
DFT (GGA-PBE) results for BaSi3H12 after structural relaxation. Values from VASP.

Results
- total magnetization (μB per formula unit) = 0.0
- DFT total energy (eV/atom) = -3.6350

Geometry as Quantum ESPRESSO input:
```
&SYSTEM
  ibrav = 0, nat = 32, ntyp = 3
/
ATOMIC_SPECIES
Ba 137.33 Ba.upf
Si 28.09 Si.upf
H 1.01 H.upf
ATOMIC_POSITIONS angstrom
Ba 0.000 0.000 0.000
Ba 0.000 0.000 15.775
Si -0.767 -2.342 13.334
Si -1.757 -0.129 18.592
Si -1.644 1.835 13.334
Si 0.990 -1.457 18.592
Si 2.411 0.506 13.334
Si 0.767 1.586 18.592
H -2.213 1.073 8.453
H 0.178 -2.453 8.453
H -1.189 -0.891 13.711
H -1.916 -0.878 17.256
H -0.198 -1.830 11.998
H -0.172 -2.635 14.729
H -1.486 1.086 11.998
H -2.196 1.466 14.729
H -0.144 -2.407 18.340
H -2.013 1.328 18.340
H -1.206 -0.498 19.987
H -1.389 -0.636 23.598
H -0.177 1.475 13.711
H 1.366 -0.584 13.711
H 2.035 1.380 8.453
H 1.684 0.743 11.998
H 1.718 -1.220 17.256
H 1.034 -0.795 19.987
H 0.198 2.098 17.256
H 0.172 1.293 19.987
H 1.245 -0.885 23.598
H 0.144 1.521 23.598
H 2.368 1.169 14.729
H 2.157 1.079 18.340
CELL_PARAMETERS angstrom
3.402 1.964 10.516
-3.402 1.964 10.516
0.000 -3.928 10.516
```

(14)
DFT (GGA-PBE) results for Ba8Si2H after structural relaxation. Values from VASP.

Results
- total magnetization (μB per formula unit) = 0.1
- DFT total energy (eV/atom) = -2.8332

Geometry as Quantum ESPRESSO input:
```
&SYSTEM
  ibrav = 0, nat = 11, ntyp = 3
/
ATOMIC_SPECIES
Ba 137.33 Ba.upf
Si 28.09 Si.upf
H 1.01 H.upf
ATOMIC_POSITIONS angstrom
Ba 0.071 0.000 2.069
Ba 4.851 0.000 3.308
Ba 7.394 0.000 0.229
Ba 8.299 0.000 4.823
Ba 12.446 0.000 5.915
Ba 13.351 0.000 10.509
Ba 15.894 0.000 7.429
Ba 20.675 0.000 8.668
Si 3.006 0.000 8.134
Si 17.739 0.000 2.603
H 10.510 0.000 0.000
CELL_PARAMETERS angstrom
10.510 -2.273 0.000
10.510 2.273 0.000
-0.274 0.000 10.737
```

(15)
DFT (GGA-PBE) results for BaSiH after structural relaxation. Values from VASP.

Results
- polymorph energy (0 for the lowest one) (kJ per mole of atoms) = 14.2
- total magnetization (μB per formula unit) = 0.0

Geometry as Quantum ESPRESSO input:
```
&SYSTEM
  ibrav = 0, nat = 12, ntyp = 3
/
ATOMIC_SPECIES
Ba 137.33 Ba.upf
Si 28.09 Si.upf
H 1.01 H.upf
ATOMIC_POSITIONS angstrom
Ba 1.221 0.999 1.500
Ba 2.934 2.997 6.070
Ba 5.375 0.999 3.071
Ba 7.089 2.997 7.642
Si 0.454 0.999 4.965
Si 3.701 2.997 0.394
Si 4.609 0.999 8.747
Si 7.855 2.997 4.176
H 0.336 0.999 8.172
H 3.818 2.997 3.602
H 4.491 0.999 5.539
H 7.973 2.997 0.969
CELL_PARAMETERS angstrom
8.310 0.000 0.000
0.000 3.996 0.000
0.000 0.000 9.141
```

(16)
DFT (GGA-PBE) results for BaSi2SnH after structural relaxation. Values from VASP.

Results
- total magnetization (μB per formula unit) = 0.0
- DFT total energy (eV/atom) = -3.1960

Geometry as Quantum ESPRESSO input:
```
&SYSTEM
  ibrav = 0, nat = 5, ntyp = 4
/
ATOMIC_SPECIES
Ba 137.33 Ba.upf
Si 28.09 Si.upf
Sn 118.71 Sn.upf
H 1.01 H.upf
ATOMIC_POSITIONS angstrom
Ba 0.000 0.000 0.000
Si 0.000 2.519 3.498
Si 2.519 0.000 3.498
Sn 0.000 0.000 3.498
H 2.519 2.519 0.000
CELL_PARAMETERS angstrom
5.039 0.000 0.000
0.000 5.039 0.000
0.000 0.000 6.997
```

(17)
DFT (GGA-PBE) results for Ba2TlSiH after structural relaxation. Values from VASP.

Results
- total magnetization (μB per formula unit) = 0.0
- DFT total energy (eV/atom) = -3.1837

Geometry as Quantum ESPRESSO input:
```
&SYSTEM
  ibrav = 0, nat = 5, ntyp = 4
/
ATOMIC_SPECIES
Ba 137.33 Ba.upf
Tl 204.38 Tl.upf
Si 28.09 Si.upf
H 1.01 H.upf
ATOMIC_POSITIONS angstrom
Ba 0.000 2.890 0.000
Ba 2.890 0.000 0.000
Tl 0.000 0.000 2.106
Si 2.890 2.890 2.106
H 2.890 2.890 0.000
CELL_PARAMETERS angstrom
5.779 0.000 0.000
0.000 5.779 0.000
0.000 0.000 4.211
```

(18)
DFT (GGA-PBE) results for BaZnSi2H after structural relaxation. Values from VASP.

Results
- total magnetization (μB per formula unit) = 0.0
- DFT total energy (eV/atom) = -3.0631

Geometry as Quantum ESPRESSO input:
```
&SYSTEM
  ibrav = 0, nat = 5, ntyp = 4
/
ATOMIC_SPECIES
Ba 137.33 Ba.upf
Zn 65.41 Zn.upf
Si 28.09 Si.upf
H 1.01 H.upf
ATOMIC_POSITIONS angstrom
Ba 0.000 0.000 0.000
Zn 2.366 2.366 2.477
Si 0.000 2.366 2.477
Si 2.366 0.000 2.477
H 2.366 2.366 0.000
CELL_PARAMETERS angstrom
4.733 0.000 0.000
0.000 4.733 0.000
0.000 0.000 4.955
```

(19)
DFT (GGA-PBE) results for Ba2ZnSiH after structural relaxation. Values from VASP.

Results
- total magnetization (μB per formula unit) = 0.0
- DFT total energy (eV/atom) = -3.0921

Geometry as Quantum ESPRESSO input:
```
&SYSTEM
  ibrav = 0, nat = 10, ntyp = 4
/
ATOMIC_SPECIES
Ba 137.33 Ba.upf
Zn 65.41 Zn.upf
Si 28.09 Si.upf
H 1.01 H.upf
ATOMIC_POSITIONS angstrom
Ba 0.164 1.079 3.618
Ba -1.344 1.079 8.634
Ba 5.257 3.238 0.333
Ba 3.749 3.238 5.349
Zn 2.542 3.238 2.224
Zn 1.371 1.079 6.743
Si 0.268 3.238 6.356
Si 3.645 1.079 2.612
H 0.831 3.238 1.564
H 3.082 1.079 7.403
CELL_PARAMETERS angstrom
7.034 0.000 0.000
0.000 4.318 0.000
-3.121 0.000 8.967
```

(20)
DFT (GGA-PBE) results for Ba4SnH after structural relaxation. Values from VASP.

Results
- total magnetization (μB per formula unit) = 2.1
- DFT total energy (eV/atom) = -2.7786

Geometry as Quantum ESPRESSO input:
```
&SYSTEM
  ibrav = 0, nat = 12, ntyp = 3
/
ATOMIC_SPECIES
Ba 137.33 Ba.upf
Sn 118.71 Sn.upf
H 1.01 H.upf
ATOMIC_POSITIONS angstrom
Ba 0.390 0.690 3.941
Ba -0.927 -0.690 8.123
Ba 3.120 0.563 7.308
Ba 4.438 -0.563 3.125
Ba 8.690 0.563 5.241
Ba 10.008 -0.563 1.058
Ba 14.055 0.690 0.242
Ba 12.738 -0.690 4.425
Sn 7.223 1.555 2.091
Sn 5.905 -1.555 6.274
H 2.623 1.939 4.183
H 3.941 -1.939 0.000
CELL_PARAMETERS angstrom
7.882 -3.878 0.000
7.882 3.878 0.000
-2.635 0.000 8.366
```